Material: Zr2MnVO
Method: DFT, GGA+U
State: optimized geometry

Results
volume	103.9	Å³ per cell
E_tot	-34.7	eV per formula unit

```
Zr2MnVO
1.0
5.380 0.000 0.000
0.000 5.380 0.000
0.000 0.000 3.590
Zr Mn V O
2 1 1 1
direct
0.000 0.500 0.000 Zr
0.500 0.000 0.000 Zr
0.000 0.000 0.500 Mn
0.500 0.500 0.000 V
0.500 0.500 0.500 O
```